Entry 1:
# TbPm3Mg, relaxed, DFT PBE
data_TbPm3Mg
_chemical_formula_sum 'Tb2 Pm6 Mg2'
_cell_length_a 3.778
_cell_length_b 9.433
_cell_length_c 9.806
_cell_angle_alpha 90.00
_cell_angle_beta 101.05
_cell_angle_gamma 90.00
_symmetry_space_group_name_H-M 'P 1 21/m 1'
_symmetry_Int_Tables_number 11
_symmetry_space_group_name_Hall '-P 2yb'
loop_
_atom_site_label
_atom_site_fract_x
_atom_site_fract_y
_atom_site_fract_z
_atom_site_occupancy
Tb1 0.007 0.250 0.015 1
Pm1 0.195 0.250 0.388 1
Pm2 0.405 0.004 0.811 1
Mg1 0.168 0.750 0.337 1
# - Density: 5.99 g/cm³
# - D(E_F): 1.14 states/eV per atom
# - Formation energy: 17.2 kJ/mol of atoms


Entry 2:
# Na2Tl3Br4Cl2, relaxed, DFT PBE
data_Na2Tl3Br4Cl2
_chemical_formula_sum 'Na4 Tl6 Br8 Cl4'
_cell_length_a 5.386
_cell_length_b 5.386
_cell_length_c 25.825
_cell_angle_alpha 90.00
_cell_angle_beta 90.00
_cell_angle_gamma 90.00
_symmetry_space_group_name_H-M 'I 4/m m m'
_symmetry_Int_Tables_number 139
_symmetry_space_group_name_Hall '-I 4 2'
loop_
_atom_site_label
_atom_site_fract_x
_atom_site_fract_y
_atom_site_fract_z
_atom_site_occupancy
Na1 0.000 0.000 0.104 1
Tl1 0.000 0.000 0.317 1
Tl2 0.000 0.000 0.500 1
Br1 0.000 0.500 0.071 1
Cl1 0.000 0.000 0.206 1
# - ΔE_f (raw): -0.9825 eV per atom
# - Density: 4.65 g/cm³
# - D(E_F): 0.34 states/eV per atom


Entry 3:
# TbCdF6, relaxed, DFT PBE
data_TbCdF6
_chemical_formula_sum 'Tb2 Cd2 F12'
_cell_length_a 5.376
_cell_length_b 5.376
_cell_length_c 7.885
_cell_angle_alpha 90.00
_cell_angle_beta 90.00
_cell_angle_gamma 90.00
_symmetry_space_group_name_H-M 'P 42/m'
_symmetry_Int_Tables_number 84
_symmetry_space_group_name_Hall '-P 4c'
loop_
_atom_site_label
_atom_site_fract_x
_atom_site_fract_y
_atom_site_fract_z
_atom_site_occupancy
Tb1 0.000 0.000 0.250 1
Cd1 0.500 0.500 0.000 1
F1 0.154 0.805 0.000 1
F2 0.247 0.687 0.326 1
# - ΔE_f (raw): -2.7975 eV per atom
# - Density: 5.61 g/cm³
# - D(E_F): 1.18 states/eV per atom


Entry 4:
# Ba2CdFe, relaxed, DFT PBE
data_Ba2CdFe
_chemical_formula_sum 'Ba2 Cd1 Fe1'
_cell_length_a 4.069
_cell_length_b 4.064
_cell_length_c 8.352
_cell_angle_alpha 90.00
_cell_angle_beta 91.12
_cell_angle_gamma 90.00
_symmetry_space_group_name_H-M 'P 1 2/m 1'
_symmetry_Int_Tables_number 10
_symmetry_space_group_name_Hall '-P 2y'
loop_
_atom_site_label
_atom_site_fract_x
_atom_site_fract_y
_atom_site_fract_z
_atom_site_occupancy
Ba1 0.012 0.000 0.269 1
Cd1 0.500 0.500 0.000 1
Fe1 0.500 0.500 0.500 1
# - Density: 5.33 g/cm³
# - D(E_F): 1.58 states/eV per atom
# - Formation energy: 30.0 kJ/mol of atoms


Entry 5:
# Rb4BrClO, relaxed, DFT PBE
data_Rb4BrClO
_chemical_formula_sum 'Rb16 Br4 Cl4 O4'
_cell_length_a 7.785
_cell_length_b 17.186
_cell_length_c 7.791
_cell_angle_alpha 90.00
_cell_angle_beta 90.00
_cell_angle_gamma 90.00
_symmetry_space_group_name_H-M 'C m c m'
_symmetry_Int_Tables_number 63
_symmetry_space_group_name_Hall '-C 2c 2'
loop_
_atom_site_label
_atom_site_fract_x
_atom_site_fract_y
_atom_site_fract_z
_atom_site_occupancy
Rb1 0.000 0.090 0.250 1
Rb2 0.000 0.405 0.250 1
Rb3 0.250 0.250 0.000 1
Br1 0.000 0.393 0.750 1
Cl1 0.000 0.110 0.750 1
O1 0.000 0.248 0.250 1
# - ΔE_f (raw): -1.4428 eV per atom
# - Density: 3.02 g/cm³


Entry 6:
# Tb2Pr2DyHo, relaxed, DFT PBE
data_Tb2Pr2DyHo
_chemical_formula_sum 'Tb4 Pr4 Dy2 Ho2'
_cell_length_a 7.056
_cell_length_b 5.683
_cell_length_c 9.855
_cell_angle_alpha 90.00
_cell_angle_beta 90.00
_cell_angle_gamma 90.00
_symmetry_space_group_name_H-M 'P m m a'
_symmetry_Int_Tables_number 51
_symmetry_space_group_name_Hall '-P 2a 2a'
loop_
_atom_site_label
_atom_site_fract_x
_atom_site_fract_y
_atom_site_fract_z
_atom_site_occupancy
Tb1 0.250 0.000 0.164 1
Tb2 0.250 0.500 0.667 1
Pr1 0.000 0.500 0.000 1
Pr2 0.250 0.000 0.823 1
Dy1 0.250 0.500 0.341 1
Ho1 0.000 0.000 0.500 1
# - Density: 7.79 g/cm³
# - D(E_F): 1.51 states/eV per atom
# - Formation energy: 6.2 kJ/mol of atoms